# FeCoBiF6 (PBE+U, optimized geometry)
# - Crystal system: trigonal
# - Final energy: -4.870 eV/atom
data_FeCoBiF6
_chemical_formula_sum 'Fe2 Co2 Bi2 F12'
_symmetry_space_group_name_H-M 'P 1'
_symmetry_Int_Tables_number 1
_cell_length_a 5.409
_cell_length_b 5.409
_cell_length_c 10.354
_cell_angle_alpha 90.00
_cell_angle_beta 90.00
_cell_angle_gamma 120.00
loop_
_symmetry_equiv_pos_as_xyz
'x,y,z'
loop_
_atom_site_label
_atom_site_type_symbol
_atom_site_fract_x
_atom_site_fract_y
_atom_site_fract_z
Fe1 Fe 0.333 0.667 0.250
Fe2 Fe 0.667 0.333 0.750
Co1 Co 0.333 0.667 0.750
Co2 Co 0.667 0.333 0.250
Bi1 Bi 0.000 0.000 0.000
Bi2 Bi 0.000 0.000 0.500
F1 F 0.004 0.345 0.632
F2 F 0.004 0.659 0.868
F3 F 0.341 0.345 0.868
F4 F 0.341 0.996 0.632
F5 F 0.345 0.004 0.132
F6 F 0.345 0.341 0.368
F7 F 0.655 0.659 0.632
F8 F 0.655 0.996 0.868
F9 F 0.659 0.004 0.368
F10 F 0.659 0.655 0.132
F11 F 0.996 0.341 0.132
F12 F 0.996 0.655 0.368